# PuAgGe

Crystalline PuAgGe at its relaxed geometry (PBE-GGA, Alexandria).

N(E_F): 4.661 states/eV per atom
E_tot: -7.340 eV/atom
spin magnetization: 4.99 Bohr magnetons per cell

Unit cell a=4.6978 b=4.6978 c=4.6978 alpha=60.00 beta=60.00 gamma=60.00
Sites, in units of the cell vectors:
Ge (0.2500, 0.2500, 0.2500)
Ag (0.5000, 0.5000, 0.5000)
Pu (0.0000, 0.0000, 0.0000)

=====

# PuAgGe

Crystalline PuAgGe at its relaxed geometry (PBE-GGA, Alexandria).

N(E_F): 3.049 states/eV per atom
E_tot: -7.509 eV/atom
spin magnetization: 5.73 Bohr magnetons per cell

Unit cell a=3.3263 b=4.7118 c=4.7118 alpha=120.00 beta=90.00 gamma=90.00
Sites, in units of the cell vectors:
Ge (0.1665, 0.0000, 0.0000)
Ag (0.1668, 0.6667, 0.3333)
Pu (0.6667, 0.3333, 0.6667)

=====

# PuAgGe2

Crystalline PuAgGe2 at its relaxed geometry (PBE-GGA, Alexandria).

N(E_F): 2.534 states/eV per atom
E_tot: -6.810 eV/atom
spin magnetization: 5.21 Bohr magnetons per cell

Unit cell a=4.0646 b=4.4593 c=4.4593 alpha=90.00 beta=90.00 gamma=90.00
Sites, in units of the cell vectors:
Ge (0.0000, 0.0000, 0.5000)
Ge (0.0000, 0.5000, 0.0000)
Ag (0.5000, 0.0000, 0.0000)
Pu (0.5000, 0.5000, 0.5000)

=====

# Pu2Ag3Ge2

Crystalline Pu2Ag3Ge2 at its relaxed geometry (PBE-GGA, Alexandria).

N(E_F): 2.051 states/eV per atom
E_tot: -6.744 eV/atom
spin magnetization: 11.46 Bohr magnetons per cell

Unit cell a=3.0669 b=4.6758 c=10.3554 alpha=103.05 beta=90.00 gamma=90.00
Sites, in units of the cell vectors:
Pu (0.0000, 0.8412, 0.6825)
Pu (0.0000, 0.1588, 0.3175)
Ag (0.5000, 0.5678, 0.1355)
Ag (0.5000, 0.4322, 0.8645)
Ag (0.0000, 0.0000, 0.0000)
Ge (0.5000, 0.7097, 0.4193)
Ge (0.5000, 0.2903, 0.5807)

=====

# Pu4AgGe

Crystalline Pu4AgGe at its relaxed geometry (PBE-GGA, Alexandria).

N(E_F): 3.045 states/eV per atom
E_tot: -10.721 eV/atom
spin magnetization: 22.61 Bohr magnetons per cell

Unit cell a=5.0595 b=5.9661 c=5.9661 alpha=98.58 beta=64.85 gamma=64.85
Sites, in units of the cell vectors:
Pu (0.7564, 0.5785, 0.9092)
Pu (0.7564, 0.9092, 0.5785)
Pu (0.2435, 0.4215, 0.0908)
Pu (0.2435, 0.0908, 0.4215)
Ag (0.0000, 0.0000, 0.0000)
Ge (0.5000, 0.5000, 0.5000)

=====

# PuAgGe

Crystalline PuAgGe at its relaxed geometry (PBE-GGA, Alexandria).

N(E_F): 3.078 states/eV per atom
E_tot: -7.560 eV/atom
spin magnetization: 15.71 Bohr magnetons per cell

Unit cell a=4.4555 b=7.0484 c=7.0485 alpha=120.00 beta=90.00 gamma=90.00
Sites, in units of the cell vectors:
Pu (0.5000, 0.4269, 0.4269)
Pu (0.5000, 0.0000, 0.5731)
Pu (0.5000, 0.5731, 0.0000)
Ag (0.0000, 0.7571, 0.7571)
Ag (0.0000, 0.0000, 0.2429)
Ag (0.0000, 0.2429, 0.0000)
Ge (0.0000, 0.3333, 0.6667)
Ge (0.0000, 0.6667, 0.3333)
Ge (0.5000, 0.0000, 0.0000)

=====

# Pu4AgGe3

Crystalline Pu4AgGe3 at its relaxed geometry (PBE-GGA, Alexandria).

N(E_F): 3.622 states/eV per atom
excess energy over the best structure of this formula in the dataset: 0.000 eV/atom
spin magnetization: 21.43 Bohr magnetons per cell

Unit cell a=5.0784 b=5.0784 c=8.7190 alpha=73.07 beta=73.07 gamma=60.00
Sites, in units of the cell vectors:
Ge (0.2589, 0.2589, 0.2234)
Ge (0.7411, 0.7411, 0.7766)
Ge (0.5000, 0.5000, 0.5000)
Ag (0.0000, 0.0000, 0.0000)
Pu (0.8642, 0.8642, 0.4073)
Pu (0.3831, 0.3831, 0.8507)
Pu (0.1358, 0.1358, 0.5927)
Pu (0.6169, 0.6169, 0.1493)

=====

# Pu2AgGe

Crystalline Pu2AgGe at its relaxed geometry (PBE-GGA, Alexandria).

N(E_F): 3.609 states/eV per atom
E_tot: -9.223 eV/atom
spin magnetization: 11.27 Bohr magnetons per cell

Unit cell a=3.9156 b=3.9156 c=5.9038 alpha=90.00 beta=90.00 gamma=90.00
Sites, in units of the cell vectors:
Ge (0.5000, 0.5000, 0.0000)
Ag (0.5000, 0.5000, 0.5000)
Pu (0.0000, 0.0000, 0.7652)
Pu (0.0000, 0.0000, 0.2348)

=====

# Pu2AgGe

Crystalline Pu2AgGe at its relaxed geometry (PBE-GGA, Alexandria).

N(E_F): 3.386 states/eV per atom
E_tot: -8.852 eV/atom
spin magnetization: 11.48 Bohr magnetons per cell

Unit cell a=3.1529 b=3.1529 c=11.0984 alpha=81.83 beta=81.83 gamma=60.00
Sites, in units of the cell vectors:
Ge (0.5000, 0.5000, 0.5000)
Ag (0.0000, 0.0000, 0.0000)
Pu (0.0930, 0.0930, 0.7211)
Pu (0.9070, 0.9070, 0.2789)

=====

# PuAgGe

Crystalline PuAgGe at its relaxed geometry (PBE-GGA, Alexandria).

N(E_F): 3.154 states/eV per atom
E_tot: -7.512 eV/atom
spin magnetization: 11.86 Bohr magnetons per cell

Unit cell a=4.7037 b=5.7765 c=5.7765 alpha=89.77 beta=65.97 gamma=65.97
Sites, in units of the cell vectors:
Pu (0.0000, 0.6238, 0.3762)
Pu (0.5000, 0.1689, 0.8311)
Ag (0.2765, 0.0361, 0.4109)
Ag (0.7235, 0.5891, 0.9639)
Ge (0.2083, 0.7725, 0.8109)
Ge (0.7917, 0.1891, 0.2275)

=====

# PuAgGe2

Crystalline PuAgGe2 at its relaxed geometry (PBE-GGA, Alexandria).

N(E_F): 1.980 states/eV per atom
E_tot: -6.772 eV/atom
spin magnetization: 5.40 Bohr magnetons per cell

Unit cell a=2.9072 b=5.5061 c=5.5061 alpha=113.60 beta=90.00 gamma=90.00
Sites, in units of the cell vectors:
Pu (0.0000, 0.0535, 0.9465)
Ag (0.5000, 0.5540, 0.4460)
Ge (0.5000, 0.0542, 0.4467)
Ge (0.5000, 0.5533, 0.9458)

=====

# PuAgGe2

Crystalline PuAgGe2 at its relaxed geometry (PBE-GGA, Alexandria).

N(E_F): 1.480 states/eV per atom
E_tot: -6.655 eV/atom
spin magnetization: 5.87 Bohr magnetons per cell

Unit cell a=3.4430 b=3.4430 c=6.8435 alpha=90.00 beta=90.00 gamma=90.00
Sites, in units of the cell vectors:
Ge (0.0000, 0.0000, 0.7882)
Ge (0.0000, 0.0000, 0.2118)
Ag (0.5000, 0.5000, 0.0000)
Pu (0.5000, 0.5000, 0.5000)

=====

# PuAgGe

Crystalline PuAgGe at its relaxed geometry (PBE-GGA, Alexandria).

N(E_F): 1.133 states/eV per atom
E_tot: -7.050 eV/atom
spin magnetization: 0.00 Bohr magnetons per cell

Unit cell a=3.3251 b=3.2656 c=11.3033 alpha=90.00 beta=98.46 gamma=90.00
Sites, in units of the cell vectors:
Pu (0.7295, 0.7500, 0.4589)
Pu (0.2705, 0.2500, 0.5411)
Ag (0.5517, 0.2500, 0.1034)
Ag (0.4483, 0.7500, 0.8966)
Ge (0.8560, 0.7500, 0.7121)
Ge (0.1440, 0.2500, 0.2879)

=====

# Pu2AgGe2

Crystalline Pu2AgGe2 at its relaxed geometry (PBE-GGA, Alexandria).

N(E_F): 2.945 states/eV per atom
E_tot: -8.491 eV/atom
spin magnetization: 22.58 Bohr magnetons per cell

Unit cell a=4.4371 b=7.0841 c=7.0841 alpha=90.00 beta=90.00 gamma=90.00
Sites, in units of the cell vectors:
Pu (0.5000, 0.3349, 0.8349)
Pu (0.5000, 0.8349, 0.6651)
Pu (0.5000, 0.6651, 0.1651)
Pu (0.5000, 0.1651, 0.3349)
Ag (0.0000, 0.0000, 0.0000)
Ag (0.0000, 0.5000, 0.5000)
Ge (0.0000, 0.1322, 0.6322)
Ge (0.0000, 0.6322, 0.8678)
Ge (0.0000, 0.8678, 0.3678)
Ge (0.0000, 0.3678, 0.1322)

=====

# PuScAgGe

Crystalline PuScAgGe at its relaxed geometry (PBE-GGA, Alexandria).

N(E_F): 1.971 states/eV per atom
E_tot: -7.349 eV/atom
spin magnetization: 6.24 Bohr magnetons per cell

Unit cell a=4.9758 b=4.9758 c=4.9758 alpha=60.00 beta=60.00 gamma=60.00
Sites, in units of the cell vectors:
Sc (0.2500, 0.2500, 0.2500)
Ge (0.0000, 0.0000, 0.0000)
Ag (0.5000, 0.5000, 0.5000)
Pu (0.7500, 0.7500, 0.7500)

=====

# PuAg2GeSe4

Crystalline PuAg2GeSe4 at its relaxed geometry (PBE-GGA, Alexandria).

N(E_F): 1.435 states/eV per atom
raw formation energy: -4.2 eV/f.u.
spin magnetization: 8.77 Bohr magnetons per cell

Unit cell a=8.1021 b=8.1021 c=8.2739 alpha=120.69 beta=120.69 gamma=90.64
Sites, in units of the cell vectors:
Pu (0.0000, 0.5000, 0.0000)
Pu (0.0000, 0.5000, 0.5000)
Ag (0.5000, 0.0000, 0.0000)
Ag (0.5000, 0.0000, 0.5000)
Ag (0.0000, 0.0000, 0.5000)
Ag (0.5000, 0.5000, 0.0000)
Ge (0.5000, 0.5000, 0.5000)
Ge (0.0000, 0.0000, 0.0000)
Se (0.2444, 0.7578, 0.0010)
Se (0.7422, 0.2557, 0.4990)
Se (0.2578, 0.7443, 0.5010)
Se (0.7557, 0.2422, 0.9990)
Se (0.7513, 0.7484, 0.9936)
Se (0.7516, 0.7487, 0.5064)
Se (0.2484, 0.2513, 0.4936)
Se (0.2487, 0.2516, 0.0064)

=====

# SmPuAgGe

Crystalline SmPuAgGe at its relaxed geometry (PBE-GGA, Alexandria).

N(E_F): 2.067 states/eV per atom
E_tot: -6.968 eV/atom
spin magnetization: 6.23 Bohr magnetons per cell

Unit cell a=5.1632 b=5.1632 c=5.1632 alpha=60.00 beta=60.00 gamma=60.00
Sites, in units of the cell vectors:
Ge (0.2500, 0.2500, 0.2500)
Ag (0.7500, 0.7500, 0.7500)
Sm (0.0000, 0.0000, 0.0000)
Pu (0.5000, 0.5000, 0.5000)

=====

# PuAgSnGe

Crystalline PuAgSnGe at its relaxed geometry (PBE-GGA, Alexandria).

N(E_F): 2.734 states/eV per atom
E_tot: -6.539 eV/atom
spin magnetization: 5.63 Bohr magnetons per cell

Unit cell a=5.0229 b=5.0229 c=5.0229 alpha=60.00 beta=60.00 gamma=60.00
Sites, in units of the cell vectors:
Ge (0.0000, 0.0000, 0.0000)
Sn (0.2500, 0.2500, 0.2500)
Ag (0.5000, 0.5000, 0.5000)
Pu (0.7500, 0.7500, 0.7500)

=====

# SrPuAgGe

Crystalline SrPuAgGe at its relaxed geometry (PBE-GGA, Alexandria).

N(E_F): 3.038 states/eV per atom
E_tot: -6.084 eV/atom
spin magnetization: 5.35 Bohr magnetons per cell

Unit cell a=5.2974 b=5.2974 c=5.2974 alpha=60.00 beta=60.00 gamma=60.00
Sites, in units of the cell vectors:
Sr (0.0000, 0.0000, 0.0000)
Ge (0.2500, 0.2500, 0.2500)
Ag (0.7500, 0.7500, 0.7500)
Pu (0.5000, 0.5000, 0.5000)

=====

# TbPuAgGe

Crystalline TbPuAgGe at its relaxed geometry (PBE-GGA, Alexandria).

N(E_F): 2.021 states/eV per atom
E_tot: -6.955 eV/atom
spin magnetization: 6.23 Bohr magnetons per cell

Unit cell a=5.1195 b=5.1195 c=5.1195 alpha=60.00 beta=60.00 gamma=60.00
Sites, in units of the cell vectors:
Ge (0.2500, 0.2500, 0.2500)
Tb (0.0000, 0.0000, 0.0000)
Ag (0.7500, 0.7500, 0.7500)
Pu (0.5000, 0.5000, 0.5000)

=====

# TmPuAgGe

Crystalline TmPuAgGe at its relaxed geometry (PBE-GGA, Alexandria).

N(E_F): 2.020 states/eV per atom
E_tot: -6.911 eV/atom
spin magnetization: 6.21 Bohr magnetons per cell

Unit cell a=5.0775 b=5.0775 c=5.0775 alpha=60.00 beta=60.00 gamma=60.00
Sites, in units of the cell vectors:
Ge (0.7500, 0.7500, 0.7500)
Tm (0.0000, 0.0000, 0.0000)
Ag (0.2500, 0.2500, 0.2500)
Pu (0.5000, 0.5000, 0.5000)

=====

# RbAg3Ge3

Crystalline RbAg3Ge3 at its relaxed geometry (PBE-GGA, Alexandria).

N(E_F): 0.781 states/eV per atom
E_tot: -3.070 eV/atom
spin magnetization: 0.00 Bohr magnetons per cell

Unit cell a=7.3103 b=7.3103 c=7.3103 alpha=90.00 beta=90.00 gamma=90.00
Sites, in units of the cell vectors:
Ge (0.0000, 0.2500, 0.5000)
Ge (0.0000, 0.7500, 0.5000)
Ge (0.5000, 0.0000, 0.7500)
Ge (0.7500, 0.5000, 0.0000)
Ge (0.5000, 0.0000, 0.2500)
Ge (0.2500, 0.5000, 0.0000)
Rb (0.5000, 0.5000, 0.5000)
Rb (0.0000, 0.0000, 0.0000)
Ag (0.2500, 0.0000, 0.5000)
Ag (0.0000, 0.5000, 0.2500)
Ag (0.5000, 0.7500, 0.0000)
Ag (0.7500, 0.0000, 0.5000)
Ag (0.0000, 0.5000, 0.7500)
Ag (0.5000, 0.2500, 0.0000)

=====

# Rb3AgGe4

Crystalline Rb3AgGe4 at its relaxed geometry (PBE-GGA, Alexandria).

E_tot: -3.226 eV/atom
spin magnetization: 0.00 Bohr magnetons per cell

Unit cell a=6.3018 b=6.9345 c=12.6188 alpha=90.00 beta=90.00 gamma=90.00
Sites, in units of the cell vectors:
Ge (0.3267, 0.5000, 0.8902)
Ge (0.3267, 0.5000, 0.1098)
Ge (0.0621, 0.3007, 0.0000)
Ge (0.0621, 0.6993, 0.0000)
Ge (0.9379, 0.8007, 0.5000)
Ge (0.9379, 0.1993, 0.5000)
Ge (0.6733, 0.0000, 0.3902)
Ge (0.6733, 0.0000, 0.6098)
Ag (0.6929, 0.5000, 0.0000)
Ag (0.3071, 0.0000, 0.5000)
Rb (0.5755, 0.0000, 0.0000)
Rb (0.4245, 0.5000, 0.5000)
Rb (0.8321, 0.5000, 0.7356)
Rb (0.8321, 0.5000, 0.2644)
Rb (0.1679, 0.0000, 0.7644)
Rb (0.1679, 0.0000, 0.2356)

=====

# Rb2AgGe2

Crystalline Rb2AgGe2 at its relaxed geometry (PBE-GGA, Alexandria).

N(E_F): 0.245 states/eV per atom
excess energy over the best structure of this formula in the dataset: 0.141 eV/atom
spin magnetization: 0.00 Bohr magnetons per cell

Unit cell a=10.3142 b=10.3142 c=3.3844 alpha=90.00 beta=90.00 gamma=90.00
Sites, in units of the cell vectors:
Ge (0.4199, 0.9199, 0.0000)
Ge (0.9199, 0.5801, 0.0000)
Ge (0.5801, 0.0801, 0.0000)
Ge (0.0801, 0.4199, 0.0000)
Rb (0.2112, 0.7112, 0.5000)
Rb (0.7112, 0.7888, 0.5000)
Rb (0.7888, 0.2888, 0.5000)
Rb (0.2888, 0.2112, 0.5000)
Ag (0.0000, 0.0000, 0.0000)
Ag (0.5000, 0.5000, 0.0000)

=====

# Rb2AgGe2

Crystalline Rb2AgGe2 at its relaxed geometry (PBE-GGA, Alexandria).

N(E_F): 0.636 states/eV per atom
excess energy over the best structure of this formula in the dataset: 0.000 eV/atom
spin magnetization: 0.00 Bohr magnetons per cell

Unit cell a=8.4653 b=7.1280 c=8.4982 alpha=76.39 beta=66.66 gamma=53.57
Sites, in units of the cell vectors:
Rb (0.5850, 0.3252, 0.7350)
Rb (0.4150, 0.6748, 0.2650)
Rb (0.9102, 0.6748, 0.7350)
Rb (0.0898, 0.3252, 0.2650)
Ag (0.1167, 0.7667, 0.0000)
Ag (0.8833, 0.2333, 0.0000)
Ge (0.8470, 0.0000, 0.3196)
Ge (0.6764, 0.0000, 0.1551)
Ge (0.3236, 0.0000, 0.8449)
Ge (0.1530, 0.0000, 0.6804)

=====

# Rb2AgGe2

Crystalline Rb2AgGe2 at its relaxed geometry (PBE-GGA, Alexandria).

N(E_F): 0.672 states/eV per atom
excess energy over the best structure of this formula in the dataset: 0.021 eV/atom
spin magnetization: 0.00 Bohr magnetons per cell

Unit cell a=7.0935 b=7.0935 c=6.2480 alpha=55.41 beta=55.41 gamma=90.00
Sites, in units of the cell vectors:
Ge (0.3461, 0.3461, 0.3078)
Ge (0.6539, 0.6539, 0.6922)
Rb (0.7500, 0.2500, 0.5000)
Rb (0.2500, 0.7500, 0.5000)
Ag (0.0000, 0.0000, 0.0000)